9
Lattice="5.3194 -0.0022 -0.0117 2.6617 4.6055 0.0038 0.0112 -0.0106 5.0361" Properties=species:S:1:pos:R:3 comment="CrBiIO6 | Alexandria | PBE with a Hubbard U | optimized geometry" dos_at_fermi_per_ev_atom=0.190 volume_a3_per_cell=123 final_energy_ha_per_atom=-0.211 pbc="T T T"
Cr 5.3261 3.0636 2.4939
Bi 5.3194 -0.0023 0.0435
I 2.6659 1.5291 2.5259
O 6.2349 1.6490 1.3975
O 2.0071 0.0091 3.6083
O 4.3132 1.7132 3.6068
O 1.6844 2.8582 3.6149
O 3.6411 2.9853 1.4060
O 6.0953 4.5634 1.4040